Record 1
Na3Pd2Pb4: optimized geometry, PBE.

The structure belongs to space group C2/m (No. 12); the cell edges are 11.2603, 4.8500 and 8.6902 Å and the angles 90.00°, 90.65° and 90.00°. The inequivalent atoms are Na at (0.0000, 0.0000, 0.0000), Na at (0.0967, 0.5000, 0.3001), Pd at (0.2288, 0.5000, 0.6046), Pb at (0.1082, 0.0000, 0.6315) and Pb at (0.1790, 0.5000, 0.9213).

As for the offset from the most stable computed form: 0.0 meV/atom. The calculation puts the formation energy at -207 meV/atom. The value obtained for the density of states at the Fermi level is 0.4034 states/eV/atom. The total energy comes out at -3.449 eV per atom. As for the crystal system: monoclinic.

***

Record 2
Na2Pd3Pb5: optimized geometry, PBE.

The structure belongs to space group Cmc2_1 (No. 36); the cell edges are 4.6306, 27.7890 and 7.6574 Å and the angles 90.00°, 90.00° and 90.00°. The inequivalent atoms are Na at (0.0000, 0.0232, 0.0000), Na at (0.0000, 0.3281, 0.0532), Pd at (0.0000, 0.1056, 0.7491), Pd at (0.0000, 0.2757, 0.5522), Pd at (0.0000, 0.4528, 0.7879), Pb at (0.0000, 0.0958, 0.3768), Pb at (0.0000, 0.2044, 0.8335), Pb at (0.0000, 0.2072, 0.2644), Pb at (0.0000, 0.3792, 0.5114) and Pb at (0.0000, 0.4516, 0.1679).

The calculation puts the formation energy at -234 meV/atom. The value obtained for the density of states at the Fermi level is 0.4575 states/eV/atom. The total energy comes out at -3.910 eV per atom. As for the crystal system: orthorhombic.

***

Record 3
NaPdPb4: optimized geometry, PBE.

The structure belongs to space group C2/m (No. 12); the cell edges are 9.5210, 9.5343 and 9.4553 Å and the angles 90.00°, 120.12° and 90.00°. The inequivalent atoms are Na at (0.2500, 0.0000, 0.0000), Pd at (0.2500, 0.2500, 0.5000), Pb at (0.1015, 0.2490, 0.7034), Pb at (0.1473, 0.5000, 0.2973) and Pb at (0.1494, 0.0000, 0.2973).

As for the offset from the most stable computed form: 64.2 meV/atom. The calculation puts the formation energy at -83 meV/atom. The value obtained for the density of states at the Fermi level is 0.5976 states/eV/atom. The total energy comes out at -3.641 eV per atom. As for the crystal system: monoclinic.

***

Record 4
Na2Pd4Pb5: optimized geometry, PBE.

The structure belongs to space group C2/m (No. 12); the cell edges are 10.9709, 6.5574 and 7.9820 Å and the angles 90.00°, 114.71° and 90.00°. The inequivalent atoms are Na at (0.0391, 0.0000, 0.2279), Pd at (0.0546, 0.5000, 0.3642), Pd at (0.2495, 0.5000, 0.9761), Pb at (0.0000, 0.5000, 0.0000) and Pb at (0.1886, 0.2392, 0.6748).

The calculation puts the formation energy at -151 meV/atom. The value obtained for the density of states at the Fermi level is 0.4350 states/eV/atom. The total energy comes out at -3.965 eV per atom. As for the crystal system: monoclinic.

***

Record 5
NaPdPb2: optimized geometry, PBE.

The structure belongs to space group R3m (No. 160, hexagonal axes); the cell edges are 4.7144, 4.7144 and 16.7383 Å and the angles 90.00°, 90.00° and 120.00°. The inequivalent atoms are Na at (0.0000, 0.0000, 0.0000), Pd at (0.0000, 0.0000, 0.8196), Pb at (0.0000, 0.0000, 0.2184) and Pb at (0.0000, 0.0000, 0.4365).

The calculation puts the formation energy at -213 meV/atom. The value obtained for the density of states at the Fermi level is 0.4788 states/eV/atom. The total energy comes out at -3.695 eV per atom. As for the crystal system: trigonal.

***

Record 6
NaPd2Pb4: optimized geometry, PBE.

The structure belongs to space group Pnma (No. 62); the cell edges are 19.7794, 4.6113 and 7.7055 Å and the angles 90.00°, 90.00° and 90.00°. The inequivalent atoms are Na at (0.1422, 0.2500, 0.0434), Pd at (0.0409, 0.7500, 0.2418), Pd at (0.2139, 0.2500, 0.5515), Pb at (0.0341, 0.7500, 0.8636), Pb at (0.0676, 0.2500, 0.4958), Pb at (0.1829, 0.7500, 0.3280) and Pb at (0.1934, 0.7500, 0.7603).

As for the offset from the most stable computed form: 0.0 meV/atom. The calculation puts the formation energy at -226 meV/atom. The value obtained for the density of states at the Fermi level is 0.4898 states/eV/atom. The total energy comes out at -4.018 eV per atom. As for the crystal system: orthorhombic.

***

Record 7
NaPd3Pb2: optimized geometry, PBE.

The structure belongs to space group Cmcm (No. 63); the cell edges are 10.1333, 5.8485 and 9.1198 Å and the angles 90.00°, 90.00° and 90.00°. The inequivalent atoms are Na at (0.0000, 0.0005, 0.2500), Pd at (0.0000, 0.4994, 0.7500), Pd at (0.2501, 0.2504, 0.2500) and Pb at (0.1666, 0.5000, 0.0000).

As for the offset from the most stable computed form: 0.0 meV/atom. The calculation puts the formation energy at -258 meV/atom. The value obtained for the density of states at the Fermi level is 0.3065 states/eV/atom. The total energy comes out at -4.310 eV per atom. As for the crystal system: orthorhombic.

***

Record 8
NaPdPb6: optimized geometry, PBE.

The structure belongs to space group C2/m (No. 12); the cell edges are 7.7732, 10.9307 and 6.6985 Å and the angles 90.00°, 124.77° and 90.00°. The inequivalent atoms are Na at (0.0000, 0.0000, 0.0000), Pd at (0.0000, 0.5000, 0.5000), Pb at (0.0192, 0.2690, 0.7505) and Pb at (0.2495, 0.0000, 0.7110).

The calculation puts the formation energy at -34 meV/atom. The value obtained for the density of states at the Fermi level is 0.4758 states/eV/atom. The total energy comes out at -3.629 eV per atom. As for the crystal system: monoclinic.

***

Record 9
Na6Pd2Pb: optimized geometry, PBE.

The structure belongs to space group R-3m (No. 166, hexagonal axes); the cell edges are 5.2197, 5.2197 and 30.1896 Å and the angles 90.00°, 90.00° and 120.00°. The inequivalent atoms are Na at (0.0000, 0.0000, 0.0784), Na at (0.0000, 0.0000, 0.2060), Na at (0.0000, 0.0000, 0.3108), Pd at (0.0000, 0.0000, 0.4105) and Pb at (0.0000, 0.0000, 0.5000).

The calculation puts the formation energy at -88 meV/atom. The value obtained for the density of states at the Fermi level is 0.4761 states/eV/atom. The total energy comes out at -2.534 eV per atom. As for the crystal system: trigonal.

***

Record 10
Na2PdPb2: optimized geometry, PBE.

The structure belongs to space group P4/mbm (No. 127); the cell edges are 7.1954, 7.1954 and 4.8151 Å and the angles 90.00°, 90.00° and 90.00°. The inequivalent atoms are Na at (0.1396, 0.3604, 0.0000), Pd at (0.0000, 0.0000, 0.0000) and Pb at (0.1749, 0.6749, 0.5000).

As for the offset from the most stable computed form: 230.4 meV/atom. The calculation puts the formation energy at 93 meV/atom. The value obtained for the density of states at the Fermi level is 0.4974 states/eV/atom. The total energy comes out at -2.957 eV per atom. As for the crystal system: tetragonal.

***

Record 11
Na2PdPb: optimized geometry, PBE.

The structure belongs to space group I-42d (No. 122); the cell edges are 8.6423, 8.6423 and 5.4867 Å and the angles 90.00°, 90.00° and 90.00°. The inequivalent atoms are Na at (0.1934, 0.2500, 0.1250), Pd at (0.0000, 0.0000, 0.0000) and Pb at (0.0000, 0.0000, 0.5000).

The calculation puts the formation energy at -34 meV/atom. The value obtained for the density of states at the Fermi level is 0.2294 states/eV/atom. The total energy comes out at -2.919 eV per atom. As for the crystal system: tetragonal.

***

Record 12
NaPd4Pb4: optimized geometry, PBE.

The structure belongs to space group P4_2/n (No. 86, origin choice 2); the cell edges are 9.2142, 9.2142 and 5.5706 Å and the angles 90.00°, 90.00° and 90.00°. The inequivalent atoms are Na at (0.2500, 0.2500, 0.2500), Pd at (0.0628, 0.5975, 0.6611) and Pb at (0.1018, 0.6317, 0.1597).

The calculation puts the formation energy at -150 meV/atom. The value obtained for the density of states at the Fermi level is 0.5398 states/eV/atom. The total energy comes out at -4.253 eV per atom. As for the crystal system: tetragonal.

***

Record 13
Na3PdPb12: optimized geometry, PBE.

The structure belongs to space group P4/mmm (No. 123); the cell edges are 4.8943, 4.8943 and 19.3051 Å and the angles 90.00°, 90.00° and 90.00°. The inequivalent atoms are Na at (0.0000, 0.0000, 0.0000), Na at (0.0000, 0.0000, 0.2570), Pd at (0.0000, 0.0000, 0.5000), Pb at (0.0000, 0.5000, 0.1286), Pb at (0.0000, 0.5000, 0.3875), Pb at (0.5000, 0.5000, 0.0000), Pb at (0.5000, 0.5000, 0.2579) and Pb at (0.5000, 0.5000, 0.5000).

The calculation puts the formation energy at -86 meV/atom. The value obtained for the density of states at the Fermi level is 0.4043 states/eV/atom. The total energy comes out at -3.439 eV per atom. As for the crystal system: tetragonal.

***

Record 14
NaPd14Pb: optimized geometry, PBE.

The structure belongs to space group P4/mmm (No. 123); the cell edges are 5.6685, 5.6685 and 7.9930 Å and the angles 90.00°, 90.00° and 90.00°. The inequivalent atoms are Na at (0.0000, 0.0000, 0.0000), Pd at (0.0000, 0.0000, 0.5000), Pd at (0.0000, 0.5000, 0.0000), Pd at (0.0000, 0.5000, 0.5000), Pd at (0.2495, 0.2495, 0.2562), Pd at (0.5000, 0.5000, 0.5000) and Pb at (0.5000, 0.5000, 0.0000).

The calculation puts the formation energy at -59 meV/atom. The value obtained for the density of states at the Fermi level is 1.9896 states/eV/atom. The total energy comes out at -4.917 eV per atom. As for the crystal system: tetragonal.

***

Record 15
NaPdPb2: optimized geometry, PBE.

The structure belongs to space group Pnma (No. 62); the cell edges are 16.1867, 8.4833 and 5.9830 Å and the angles 90.00°, 90.00° and 90.00°. The inequivalent atoms are Na at (0.1095, 0.2500, 0.2333), Na at (0.1406, 0.7500, 0.0168), Pd at (0.0711, 0.7500, 0.5193), Pd at (0.1779, 0.2500, 0.7363), Pb at (0.0350, 0.0498, 0.7475) and Pb at (0.2137, 0.5491, 0.5001).

The calculation puts the formation energy at -242 meV/atom. The value obtained for the density of states at the Fermi level is 0.4071 states/eV/atom. The total energy comes out at -3.724 eV per atom. As for the crystal system: orthorhombic.

***

Record 16
Na2Pd2Pb: optimized geometry, PBE.

The structure belongs to space group P4/mbm (No. 127); the cell edges are 6.9860, 6.9860 and 4.6864 Å and the angles 90.00°, 90.00° and 90.00°. The inequivalent atoms are Na at (0.1649, 0.3351, 0.0000), Pd at (0.1361, 0.6361, 0.5000) and Pb at (0.0000, 0.0000, 0.5000).

As for the offset from the most stable computed form: 31.0 meV/atom. The calculation puts the formation energy at -174 meV/atom. The value obtained for the density of states at the Fermi level is 0.5548 states/eV/atom. The total energy comes out at -3.521 eV per atom. As for the crystal system: tetragonal.

***

Record 17
NaPd2Pb8: optimized geometry, PBE.

The structure belongs to space group C2/m (No. 12); the cell edges are 8.9375, 13.0142 and 5.4352 Å and the angles 90.00°, 101.41° and 90.00°. The inequivalent atoms are Na at (0.0000, 0.0000, 0.0000), Pd at (0.0000, 0.3226, 0.5000), Pb at (0.0000, 0.2537, 0.0000), Pb at (0.1217, 0.5000, 0.8070) and Pb at (0.2013, 0.1308, 0.6056).

As for the offset from the most stable computed form: 0.0 meV/atom. The calculation puts the formation energy at -103 meV/atom. The value obtained for the density of states at the Fermi level is 0.5157 states/eV/atom. The total energy comes out at -3.864 eV per atom. As for the crystal system: monoclinic.

***

Record 18
NaPdPb: optimized geometry, PBE.

The structure belongs to space group I4mm (No. 107); the cell edges are 3.5513, 3.5513 and 10.9511 Å and the angles 90.00°, 90.00° and 90.00°. The inequivalent atoms are Na at (0.0000, 0.0000, 0.0000), Pd at (0.0000, 0.0000, 0.3280) and Pb at (0.0000, 0.0000, 0.7050).

The calculation puts the formation energy at -209 meV/atom. The value obtained for the density of states at the Fermi level is 0.4728 states/eV/atom. The total energy comes out at -3.616 eV per atom. As for the crystal system: tetragonal.

***

Record 19
Na8PdPb6: optimized geometry, PBE.

The structure belongs to space group R-3 (No. 148, hexagonal axes); the cell edges are 9.0903, 9.0903 and 20.1075 Å and the angles 90.00°, 90.00° and 120.00°. The inequivalent atoms are Na at (0.0000, 0.0000, 0.1594), Na at (0.0195, 0.6378, 0.3829), Pd at (0.0000, 0.0000, 0.5000) and Pb at (0.0060, 0.7134, 0.5491).

The calculation puts the formation energy at -120 meV/atom. The value obtained for the density of states at the Fermi level is 0.4260 states/eV/atom. The total energy comes out at -2.653 eV per atom. As for the crystal system: trigonal.